Entry from Alexandria via LeMat-Bulk: a geometry-optimized NaLi2Bi structure (PBE-GGA).

Cell: 3.745 3.745 7.155 Å, 90.00 90.00 90.00°
Element x y z (fractional)
Na 0.500 0.500 0.500
Bi 0.500 0.500 0.000
Li 0.000 0.000 0.793
Li 0.000 0.000 0.207

Calculated values
total magnetic moment = 0.000 Bohr magnetons per cell
VASP energy = -2.4959 eV per atom
symmetry = No. 123
energy of formation = -23.06 kJ/mol of atoms